# K7P

An optimized crystal structure of K7P (PBE, Alexandria via LeMat-Bulk).

For the formation energy, the calculation gives 0.165 eV per atom.

The structure belongs to space group Fm-3m (No. 225); the cell edges are 11.856, 11.856 and 11.856 Å and the angles 90.00°, 90.00° and 90.00°. The asymmetric unit holds K at (0.000, 0.000, 0.000), K at (0.000, 0.250, 0.250) and P at (0.000, 0.000, 0.500).


# SrBiBr

An optimized crystal structure of SrBiBr (PBE, Alexandria via LeMat-Bulk).

The raw formation energy is -1235.2 meV per atom.

The structure belongs to space group Cm (No. 8); the cell edges are 7.834, 5.881 and 9.664 Å and the angles 90.00°, 92.92° and 90.00°. The asymmetric unit holds Sr at (0.000, 0.000, 0.000), Sr at (0.041, 0.500, 0.438), Bi at (0.293, 0.000, 0.738), Bi at (0.407, 0.500, 0.655), Br at (0.121, 0.500, 0.089) and Br at (0.166, 0.000, 0.308).


# NaAc2TlO5

An optimized crystal structure of NaAc2TlO5 (PBE, Alexandria via LeMat-Bulk).

The raw formation energy is -2255.9 meV per atom.

The structure belongs to space group Cmc2_1 (No. 36); the cell edges are 3.733, 14.480 and 10.670 Å and the angles 90.00°, 90.00° and 90.00°. The asymmetric unit holds Na at (0.000, 0.216, 0.000), Ac at (0.000, 0.117, 0.687), Ac at (0.000, 0.145, 0.289), Tl at (0.000, 0.460, 0.468), O at (0.000, 0.058, 0.071), O at (0.000, 0.284, 0.673), O at (0.000, 0.319, 0.349), O at (0.000, 0.376, 0.010) and O at (0.000, 0.490, 0.772).


# ZrReSi2

An optimized crystal structure of ZrReSi2 (PBE, Alexandria via LeMat-Bulk).

The raw formation energy is -382.8 meV per atom.

The structure belongs to space group Amm2 (No. 38); the cell edges are 4.121, 3.244 and 9.273 Å and the angles 90.00°, 90.00° and 90.00°. The asymmetric unit holds Zr at (0.000, 0.000, 0.000), Re at (0.500, 0.000, 0.718), Si at (0.000, 0.000, 0.272) and Si at (0.500, 0.000, 0.429).


# Dy4Zn2Ag3

An optimized crystal structure of Dy4Zn2Ag3 (PBE, Alexandria via LeMat-Bulk).

For the formation energy, the calculation gives -0.245 eV per atom.

The structure belongs to space group P-3m1 (No. 164); the cell edges are 5.0149, 5.0149 and 9.2921 Å and the angles 90.00°, 90.00° and 120.00°. The asymmetric unit holds Dy at (0.0000, 0.0000, 0.1667), Dy at (0.3333, 0.6667, 0.6141), Zn at (0.3333, 0.6667, 0.2778), Ag at (0.0000, 0.0000, 0.5000) and Ag at (0.3333, 0.6667, 0.9769).


# LaBePCl2

An optimized crystal structure of LaBePCl2 (PBE, Alexandria via LeMat-Bulk).

The raw formation energy is -1032.2 meV per atom.

The structure belongs to space group P4/mmm (No. 123); the cell edges are 4.438, 4.438 and 4.996 Å and the angles 90.00°, 90.00° and 90.00°. The asymmetric unit holds La at (0.000, 0.000, 0.000), Be at (0.500, 0.500, 0.500), P at (0.500, 0.500, 0.000) and Cl at (0.000, 0.500, 0.500).